Material: CoAgHgSb
Method: DFT, PBE
State: relaxed

Cell: 6.6950 6.6950 6.6950 Å, 90.00 90.00 90.00°
With the nearest neighbours (Å) after each atom.
Fractional positions:
Co 0.0000 0.0000 0.0000  4 Hg 2.90, 4 Sb 2.90
Co 0.0000 0.5000 0.5000  4 Hg 2.90, 4 Sb 2.90
Co 0.5000 0.0000 0.5000  4 Hg 2.90, 4 Sb 2.90
Co 0.5000 0.5000 0.0000  4 Hg 2.90, 4 Sb 2.90
Ag 0.0000 0.0000 0.5000  4 Hg 2.90, 4 Sb 2.90
Ag 0.0000 0.5000 0.0000  4 Hg 2.90, 4 Sb 2.90
Ag 0.5000 0.0000 0.0000  4 Hg 2.90, 4 Sb 2.90
Ag 0.5000 0.5000 0.5000  4 Hg 2.90, 4 Sb 2.90
Hg 0.2500 0.2500 0.2500  4 Co 2.90, 4 Ag 2.90
Hg 0.2500 0.7500 0.7500  4 Co 2.90, 4 Ag 2.90
Hg 0.7500 0.2500 0.7500  4 Co 2.90, 4 Ag 2.90
Hg 0.7500 0.7500 0.2500  4 Co 2.90, 4 Ag 2.90
Sb 0.2500 0.2500 0.7500  4 Co 2.90, 4 Ag 2.90
Sb 0.2500 0.7500 0.2500  4 Co 2.90, 4 Ag 2.90
Sb 0.7500 0.2500 0.2500  4 Co 2.90, 4 Ag 2.90
Sb 0.7500 0.7500 0.7500  4 Co 2.90, 4 Ag 2.90

M_tot   0.01 μB per formula unit
Symmetry   F-43m
Energy   -51.21 eV per cell



Material: CoSiAgHg
Method: DFT, PBE
State: relaxed

Cell: 6.3458 6.3458 6.3458 Å, 90.00 90.00 90.00°
With the nearest neighbours (Å) after each atom.
Fractional positions:
Co 0.0000 0.0000 0.0000  4 Hg 2.75, 4 Si 2.75
Co 0.0000 0.5000 0.5000  4 Hg 2.75, 4 Si 2.75
Co 0.5000 0.0000 0.5000  4 Hg 2.75, 4 Si 2.75
Co 0.5000 0.5000 0.0000  4 Hg 2.75, 4 Si 2.75
Si 0.2500 0.2500 0.7500  4 Co 2.75, 4 Ag 2.75
Si 0.2500 0.7500 0.2500  4 Co 2.75, 4 Ag 2.75
Si 0.7500 0.2500 0.2500  4 Co 2.75, 4 Ag 2.75
Si 0.7500 0.7500 0.7500  4 Co 2.75, 4 Ag 2.75
Ag 0.0000 0.0000 0.5000  4 Hg 2.75, 4 Si 2.75
Ag 0.0000 0.5000 0.0000  4 Hg 2.75, 4 Si 2.75
Ag 0.5000 0.0000 0.0000  4 Hg 2.75, 4 Si 2.75
Ag 0.5000 0.5000 0.5000  4 Hg 2.75, 4 Si 2.75
Hg 0.2500 0.2500 0.2500  4 Co 2.75, 4 Ag 2.75
Hg 0.2500 0.7500 0.7500  4 Co 2.75, 4 Ag 2.75
Hg 0.7500 0.2500 0.7500  4 Co 2.75, 4 Ag 2.75
Hg 0.7500 0.7500 0.2500  4 Co 2.75, 4 Ag 2.75

M_tot   0.75 μB per formula unit
Symmetry   F-43m
Energy   -55.58 eV per cell



Material: In2CoAg
Method: DFT, PBE
State: relaxed

Cell: 6.6628 6.6628 6.6628 Å, 90.00 90.00 90.00°
With the nearest neighbours (Å) after each atom.
Fractional positions:
In 0.0000 0.0000 0.0000  4 Co 2.89, 4 In 2.89
In 0.0000 0.5000 0.5000  4 Co 2.89, 4 In 2.89
In 0.2500 0.2500 0.2500  4 In 2.89, 4 Ag 2.89
In 0.2500 0.7500 0.7500  4 In 2.89, 4 Ag 2.89
In 0.5000 0.0000 0.5000  4 Co 2.89, 4 In 2.89
In 0.5000 0.5000 0.0000  4 Co 2.89, 4 In 2.89
In 0.7500 0.2500 0.7500  4 In 2.89, 4 Ag 2.89
In 0.7500 0.7500 0.2500  4 In 2.89, 4 Ag 2.89
Co 0.2500 0.2500 0.7500  4 In 2.89, 4 Ag 2.89
Co 0.2500 0.7500 0.2500  4 In 2.89, 4 Ag 2.89
Co 0.7500 0.2500 0.2500  4 In 2.89, 4 Ag 2.89
Co 0.7500 0.7500 0.7500  4 In 2.89, 4 Ag 2.89
Ag 0.0000 0.0000 0.5000  4 In 2.89, 4 Co 2.89
Ag 0.0000 0.5000 0.0000  4 In 2.89, 4 Co 2.89
Ag 0.5000 0.0000 0.0000  4 In 2.89, 4 Co 2.89
Ag 0.5000 0.5000 0.5000  4 In 2.89, 4 Co 2.89

M_tot   1.11 μB per formula unit
Symmetry   F-43m
Energy   -55.66 eV per cell



Material: LuInCoAg
Method: DFT, PBE
State: relaxed

Cell: 6.7040 6.7040 6.7040 Å, 90.00 90.00 90.00°
With the nearest neighbours (Å) after each atom.
Fractional positions:
Lu 0.0000 0.0000 0.0000  4 Ag 2.90, 4 In 2.90
Lu 0.0000 0.5000 0.5000  4 Ag 2.90, 4 In 2.90
Lu 0.5000 0.0000 0.5000  4 Ag 2.90, 4 In 2.90
Lu 0.5000 0.5000 0.0000  4 Ag 2.90, 4 In 2.90
In 0.2500 0.2500 0.2500  4 Co 2.90, 4 Lu 2.90
In 0.2500 0.7500 0.7500  4 Co 2.90, 4 Lu 2.90
In 0.7500 0.2500 0.7500  4 Co 2.90, 4 Lu 2.90
In 0.7500 0.7500 0.2500  4 Co 2.90, 4 Lu 2.90
Co 0.0000 0.0000 0.5000  4 In 2.90, 4 Ag 2.90
Co 0.0000 0.5000 0.0000  4 In 2.90, 4 Ag 2.90
Co 0.5000 0.0000 0.0000  4 In 2.90, 4 Ag 2.90
Co 0.5000 0.5000 0.5000  4 In 2.90, 4 Ag 2.90
Ag 0.2500 0.2500 0.7500  4 Co 2.90, 4 Lu 2.90
Ag 0.2500 0.7500 0.2500  4 Co 2.90, 4 Lu 2.90
Ag 0.7500 0.2500 0.2500  4 Co 2.90, 4 Lu 2.90
Ag 0.7500 0.7500 0.7500  4 Co 2.90, 4 Lu 2.90

M_tot   0.00 μB per formula unit
Symmetry   F-43m
Energy   -67.90 eV per cell



Material: LuInCoAg
Method: DFT, PBE
State: relaxed

Cell: 6.6622 6.6622 6.6622 Å, 90.00 90.00 90.00°
With the nearest neighbours (Å) after each atom.
Fractional positions:
Lu 0.0000 0.0000 0.0000  4 Ag 2.88, 4 Co 2.88
Lu 0.0000 0.5000 0.5000  4 Ag 2.88, 4 Co 2.88
Lu 0.5000 0.0000 0.5000  4 Ag 2.88, 4 Co 2.88
Lu 0.5000 0.5000 0.0000  4 Ag 2.88, 4 Co 2.88
In 0.0000 0.0000 0.5000  4 Co 2.88, 4 Ag 2.88
In 0.0000 0.5000 0.0000  4 Co 2.88, 4 Ag 2.88
In 0.5000 0.0000 0.0000  4 Co 2.88, 4 Ag 2.88
In 0.5000 0.5000 0.5000  4 Co 2.88, 4 Ag 2.88
Co 0.2500 0.2500 0.7500  4 In 2.88, 4 Lu 2.88
Co 0.2500 0.7500 0.2500  4 In 2.88, 4 Lu 2.88
Co 0.7500 0.2500 0.2500  4 In 2.88, 4 Lu 2.88
Co 0.7500 0.7500 0.7500  4 In 2.88, 4 Lu 2.88
Ag 0.2500 0.2500 0.2500  4 In 2.88, 4 Lu 2.88
Ag 0.2500 0.7500 0.7500  4 In 2.88, 4 Lu 2.88
Ag 0.7500 0.2500 0.7500  4 In 2.88, 4 Lu 2.88
Ag 0.7500 0.7500 0.2500  4 In 2.88, 4 Lu 2.88

M_tot   0.79 μB per formula unit
Symmetry   F-43m
Energy   -71.24 eV per cell



Material: InCoAgMo
Method: DFT, PBE
State: relaxed

Cell: 6.3725 6.3725 6.3725 Å, 90.00 90.00 90.00°
With the nearest neighbours (Å) after each atom.
Fractional positions:
In 0.0000 0.0000 0.0000  4 Co 2.76, 4 Ag 2.76
In 0.0000 0.5000 0.5000  4 Co 2.76, 4 Ag 2.76
In 0.5000 0.0000 0.5000  4 Co 2.76, 4 Ag 2.76
In 0.5000 0.5000 0.0000  4 Co 2.76, 4 Ag 2.76
Co 0.2500 0.2500 0.2500  4 In 2.76, 4 Mo 2.76
Co 0.2500 0.7500 0.7500  4 In 2.76, 4 Mo 2.76
Co 0.7500 0.2500 0.7500  4 In 2.76, 4 Mo 2.76
Co 0.7500 0.7500 0.2500  4 In 2.76, 4 Mo 2.76
Ag 0.2500 0.2500 0.7500  4 In 2.76, 4 Mo 2.76
Ag 0.2500 0.7500 0.2500  4 In 2.76, 4 Mo 2.76
Ag 0.7500 0.2500 0.2500  4 In 2.76, 4 Mo 2.76
Ag 0.7500 0.7500 0.7500  4 Mo 2.76, 4 In 2.76
Mo 0.0000 0.0000 0.5000  4 Co 2.76, 4 Ag 2.76
Mo 0.0000 0.5000 0.0000  4 Ag 2.76, 4 Co 2.76
Mo 0.5000 0.0000 0.0000  4 Ag 2.76, 4 Co 2.76
Mo 0.5000 0.5000 0.5000  4 Co 2.76, 4 Ag 2.76

M_tot   0.93 μB per formula unit
Symmetry   F-43m
Energy   -86.40 eV per cell



Material: NbInCoAg
Method: DFT, PBE
State: relaxed

Cell: 6.4176 6.4176 6.4176 Å, 90.00 90.00 90.00°
With the nearest neighbours (Å) after each atom.
Fractional positions:
Nb 0.0000 0.0000 0.0000  4 Co 2.78, 4 Ag 2.78
Nb 0.0000 0.5000 0.5000  4 Co 2.78, 4 Ag 2.78
Nb 0.5000 0.0000 0.5000  4 Co 2.78, 4 Ag 2.78
Nb 0.5000 0.5000 0.0000  4 Co 2.78, 4 Ag 2.78
In 0.0000 0.0000 0.5000  4 Co 2.78, 4 Ag 2.78
In 0.0000 0.5000 0.0000  4 Co 2.78, 4 Ag 2.78
In 0.5000 0.0000 0.0000  4 Co 2.78, 4 Ag 2.78
In 0.5000 0.5000 0.5000  4 Co 2.78, 4 Ag 2.78
Co 0.2500 0.2500 0.7500  4 Nb 2.78, 4 In 2.78
Co 0.2500 0.7500 0.2500  4 Nb 2.78, 4 In 2.78
Co 0.7500 0.2500 0.2500  4 Nb 2.78, 4 In 2.78
Co 0.7500 0.7500 0.7500  4 Nb 2.78, 4 In 2.78
Ag 0.2500 0.2500 0.2500  4 In 2.78, 4 Nb 2.78
Ag 0.2500 0.7500 0.7500  4 In 2.78, 4 Nb 2.78
Ag 0.7500 0.2500 0.7500  4 In 2.78, 4 Nb 2.78
Ag 0.7500 0.7500 0.2500  4 In 2.78, 4 Nb 2.78

M_tot   0.00 μB per formula unit
Symmetry   F-43m
Energy   -88.17 eV per cell



Material: InCoNiAg
Method: DFT, PBE
State: relaxed

Cell: 6.1831 6.1831 6.1831 Å, 90.00 90.00 90.00°
With the nearest neighbours (Å) after each atom.
Fractional positions:
In 0.0000 0.0000 0.0000  4 Co 2.68, 4 Ni 2.68
In 0.0000 0.5000 0.5000  4 Co 2.68, 4 Ni 2.68
In 0.5000 0.0000 0.5000  4 Co 2.68, 4 Ni 2.68
In 0.5000 0.5000 0.0000  4 Co 2.68, 4 Ni 2.68
Co 0.2500 0.2500 0.2500  4 Ag 2.68, 4 In 2.68
Co 0.2500 0.7500 0.7500  4 In 2.68, 4 Ag 2.68
Co 0.7500 0.2500 0.7500  4 In 2.68, 4 Ag 2.68
Co 0.7500 0.7500 0.2500  4 In 2.68, 4 Ag 2.68
Ni 0.2500 0.2500 0.7500  4 In 2.68, 4 Ag 2.68
Ni 0.2500 0.7500 0.2500  4 In 2.68, 4 Ag 2.68
Ni 0.7500 0.2500 0.2500  4 In 2.68, 4 Ag 2.68
Ni 0.7500 0.7500 0.7500  4 In 2.68, 4 Ag 2.68
Ag 0.0000 0.0000 0.5000  4 Ni 2.68, 4 Co 2.68
Ag 0.0000 0.5000 0.0000  4 Ni 2.68, 4 Co 2.68
Ag 0.5000 0.0000 0.0000  4 Ni 2.68, 4 Co 2.68
Ag 0.5000 0.5000 0.5000  4 Ni 2.68, 4 Co 2.68

M_tot   0.86 μB per formula unit
Symmetry   F-43m
Energy   -70.07 eV per cell



Material: InCoAgPd
Method: DFT, PBE
State: relaxed

Cell: 6.3856 6.3856 6.3856 Å, 90.00 90.00 90.00°
With the nearest neighbours (Å) after each atom.
Fractional positions:
In 0.0000 0.0000 0.0000  4 Co 2.77, 4 Pd 2.77
In 0.0000 0.5000 0.5000  4 Co 2.77, 4 Pd 2.77
In 0.5000 0.0000 0.5000  4 Co 2.77, 4 Pd 2.77
In 0.5000 0.5000 0.0000  4 Co 2.77, 4 Pd 2.77
Co 0.2500 0.2500 0.2500  4 In 2.77, 4 Ag 2.77
Co 0.2500 0.7500 0.7500  4 In 2.77, 4 Ag 2.77
Co 0.7500 0.2500 0.7500  4 In 2.77, 4 Ag 2.77
Co 0.7500 0.7500 0.2500  4 In 2.77, 4 Ag 2.77
Ag 0.0000 0.0000 0.5000  4 Co 2.77, 4 Pd 2.77
Ag 0.0000 0.5000 0.0000  4 Co 2.77, 4 Pd 2.77
Ag 0.5000 0.0000 0.0000  4 Co 2.77, 4 Pd 2.77
Ag 0.5000 0.5000 0.5000  4 Co 2.77, 4 Pd 2.77
Pd 0.2500 0.2500 0.7500  4 In 2.77, 4 Ag 2.77
Pd 0.2500 0.7500 0.2500  4 In 2.77, 4 Ag 2.77
Pd 0.7500 0.2500 0.2500  4 In 2.77, 4 Ag 2.77
Pd 0.7500 0.7500 0.7500  4 In 2.77, 4 Ag 2.77

M_tot   0.00 μB per formula unit
Symmetry   F-43m
Energy   -70.97 eV per cell



Material: InCoAgS3
Method: DFT, PBE
State: relaxed

Cell: 6.9542 6.9542 9.8063 Å, 90.00 90.00 151.05°
With the nearest neighbours (Å) after each atom.
Fractional positions:
In 0.1644 0.8356 0.7500  4 S 2.59-2.67, 2 Ag 2.88
In 0.8356 0.1644 0.2500  4 S 2.59-2.67, 2 Ag 2.88
Co 0.5000 0.5000 0.0000  6 S 2.27-2.47
Co 0.5000 0.5000 0.5000  6 S 2.27-2.47
Ag 0.1647 0.8353 0.2500  2 S 2.46
Ag 0.8353 0.1647 0.7500  2 S 2.46
S 0.1087 0.8913 0.0112  2 Co 2.27, 1 Ag 2.46
S 0.1087 0.8913 0.4888  2 Co 2.27, 1 Ag 2.46
S 0.4777 0.5223 0.2500  2 Co 2.47, 2 In 2.59
S 0.5223 0.4777 0.7500  2 Co 2.47, 2 In 2.59
S 0.8913 0.1087 0.5112  2 Co 2.27, 1 Ag 2.46
S 0.8913 0.1087 0.9888  2 Co 2.27, 1 Ag 2.46

M_tot   0.65 μB per formula unit
Symmetry   Cmcm
Energy   -52.38 eV per cell